1.
SrThCd4: relaxed, PBE.

Calculated values
**Calculated formation energy**: -85 kJ/mol of formula units
**M_tot**: 0.00 μB/f.u.
**E above lowest polymorph**: 91 meV per atom

abc: 6.0774 6.0774 6.0774
angles: 60.00 60.00 60.00
With the nearest neighbours (Å) after each atom.
Atoms (fractional coordinates):
Sr 0.2500 0.2500 0.2500  12 Cd 3.56, 4 Th 3.72
Th 0.0000 0.0000 0.0000  12 Cd 3.56, 4 Sr 3.72
Cd 0.6256 0.6256 0.1232  6 Cd 3.02-3.05
Cd 0.6256 0.1232 0.6256  6 Cd 3.02-3.05
Cd 0.6256 0.6256 0.6256  6 Cd 3.02-3.05
Cd 0.1232 0.6256 0.6256  6 Cd 3.02-3.05

2.
Sr3U3TcN8: relaxed, PBE.

Calculated values
**Energy relative to the elements, uncorrected**: -965 meV/atom
**M_tot**: 1.06 μB/f.u.

abc: 6.8260 6.8260 7.1288
angles: 118.60 90.00 120.00
With the nearest neighbours (Å) after each atom.
Atoms (fractional coordinates):
Sr 0.0000 0.0000 0.0000  6 N 2.64-2.74
Sr 0.0000 0.5000 0.0000  6 N 2.64-2.74
Sr 0.5000 0.5000 0.0000  6 N 2.64-2.74
U 0.5000 0.0000 0.5000  6 N 2.24-2.31
U 0.5000 0.5000 0.5000  6 N 2.24-2.31
U 0.0000 0.5000 0.5000  6 N 2.24-2.31
Tc 0.0000 0.0000 0.5000  6 N 2.28
N 0.2655 0.5310 0.2967  3 U 2.31
N 0.7345 0.4690 0.7033  3 U 2.31
N 0.7696 0.5392 0.3171  2 U 2.24, 1 Tc 2.28
N 0.2304 0.4608 0.6829  2 U 2.24, 1 Tc 2.28
N 0.7695 0.0474 0.3170  2 U 2.24, 1 Tc 2.28
N 0.2305 0.9526 0.6830  2 U 2.24, 1 Tc 2.28
N 0.2779 0.0474 0.3170  2 U 2.24, 1 Tc 2.28
N 0.7221 0.9526 0.6830  2 U 2.24, 1 Tc 2.28

3.
Pm2InCu4Sn3: relaxed, PBE.

Calculated values
**Calculated formation energy**: -383 kJ/mol of formula units
**M_tot**: 0.00 μB/f.u.

abc: 4.4014 4.4014 10.8649
angles: 90.00 90.00 90.00
With the nearest neighbours (Å) after each atom.
Atoms (fractional coordinates):
Pm 0.5000 0.0000 0.2390  6 Sn 3.34-3.59, 8 Cu 3.38-3.40, 2 In 3.59
Pm 0.0000 0.5000 0.7610  6 Sn 3.34-3.59, 8 Cu 3.38-3.40, 2 In 3.59
In 0.5000 0.5000 0.5000  4 Cu 2.67
Cu 0.5000 0.5000 0.0000  4 Sn 2.61
Cu 0.0000 0.0000 0.0000  4 Sn 2.61
Cu 0.5000 0.0000 0.6393  3 Sn 2.52-2.67, 2 In 2.67
Cu 0.0000 0.5000 0.3607  3 Sn 2.52-2.67, 2 In 2.67
Sn 0.0000 0.0000 0.5000  4 Cu 2.67
Sn 0.5000 0.0000 0.8713  5 Cu 2.52-2.61
Sn 0.0000 0.5000 0.1287  5 Cu 2.52-2.61

4.
TaAg3: relaxed, PBE.

Calculated values
**Calculated formation energy**: 258 kJ/mol of formula units
**M_tot**: 1.76 μB/f.u.

abc: 5.2767 5.2767 5.2767
angles: 90.00 90.00 90.00
With the nearest neighbours (Å) after each atom.
Atoms (fractional coordinates):
Ta 0.0000 0.0000 0.0000  12 Ag 2.95
Ta 0.5000 0.5000 0.5000  12 Ag 2.95
Ag 0.0000 0.2500 0.5000  2 Ag 2.64, 4 Ta 2.95
Ag 0.0000 0.7500 0.5000  2 Ag 2.64, 4 Ta 2.95
Ag 0.2500 0.5000 0.0000  2 Ag 2.64, 4 Ta 2.95
Ag 0.5000 0.0000 0.2500  2 Ag 2.64, 4 Ta 2.95
Ag 0.5000 0.0000 0.7500  2 Ag 2.64, 4 Ta 2.95
Ag 0.7500 0.5000 0.0000  2 Ag 2.64, 4 Ta 2.95

5.
KTaBr2: relaxed, PBE.

Calculated values
**Energy relative to the elements, uncorrected**: 63 meV/atom
**M_tot**: 0.00 μB/f.u.
**E above lowest polymorph**: 196 meV per atom

abc: 3.6727 3.6727 7.8717
angles: 90.00 90.00 90.00
With the nearest neighbours (Å) after each atom.
Atoms (fractional coordinates):
Br 0.0000 0.0000 0.9573  4 Ta 2.72
Br 0.5000 0.5000 0.2118  1 Ta 2.80
K 0.0000 0.0000 0.4750  4 Br 3.32, 4 K 3.67
Ta 0.5000 0.5000 0.8560  5 Br 2.72-2.80

6.
NdDy4Sc: relaxed, PBE.

Calculated values
**Calculated formation energy**: 117 kJ/mol of formula units
**M_tot**: 0.00 μB/f.u.

abc: 3.4356 5.9113 10.0359
angles: 86.14 80.14 73.11
With the nearest neighbours (Å) after each atom.
Atoms (fractional coordinates):
Nd 0.5000 0.5000 0.5000  8 Dy 3.43-3.53, 2 Nd 3.44
Dy 0.6558 0.5388 0.1497  3 Sc 3.41-3.44, 7 Dy 3.44-3.69, 1 Nd 3.47
Dy 0.3442 0.4612 0.8503  3 Sc 3.41-3.44, 7 Dy 3.44-3.69, 1 Nd 3.47
Dy 0.1531 0.0307 0.6631  1 Sc 3.33, 3 Nd 3.43-3.53, 7 Dy 3.44-3.69
Dy 0.8469 0.9693 0.3369  1 Sc 3.33, 3 Nd 3.43-3.53, 7 Dy 3.44-3.69
Sc 0.0000 0.0000 0.0000  8 Dy 3.33-3.44, 2 Sc 3.44

7.
InRu: relaxed, PBE.

Calculated values
**Calculated formation energy**: 82 kJ/mol of formula units
**M_tot**: 1.04 μB/f.u.

abc: 4.6119 4.6119 4.6119
angles: 60.48 60.48 60.48
With the nearest neighbours (Å) after each atom.
Atoms (fractional coordinates):
In 0.3737 0.3737 0.3737  4 Ru 2.83-2.85, 4 In 2.83-2.84
In 0.6263 0.6263 0.6263  4 Ru 2.83-2.85, 4 In 2.83-2.84
Ru 0.1203 0.1203 0.1203  4 Ru 2.71-2.88, 4 In 2.83-2.85
Ru 0.8797 0.8797 0.8797  4 Ru 2.71-2.88, 4 In 2.83-2.85

8.
NdLu3Ir: relaxed, PBE.

Calculated values
**Calculated formation energy**: -174 kJ/mol of formula units
**M_tot**: 0.01 μB/f.u.

abc: 5.3428 5.3428 5.3428
angles: 90.00 90.00 90.00
With the nearest neighbours (Å) after each atom.
Atoms (fractional coordinates):
Nd 0.5000 0.5000 0.5000  12 Lu 3.78
Ir 0.0000 0.0000 0.0000  6 Lu 2.67
Lu 0.0000 0.5000 0.0000  2 Ir 2.67
Lu 0.0000 0.0000 0.5000  2 Ir 2.67
Lu 0.5000 0.0000 0.0000  2 Ir 2.67

> Which of these has the highest M_tot?

TaAg3

> Look up the M_tot of the first one.

0.00 μB/f.u.

Please write out number 7 again, unchanged.
InRu: relaxed, PBE.

Calculated values
**Calculated formation energy**: 82 kJ/mol of formula units
**M_tot**: 1.04 μB/f.u.

abc: 4.6119 4.6119 4.6119
angles: 60.48 60.48 60.48
With the nearest neighbours (Å) after each atom.
Atoms (fractional coordinates):
In 0.3737 0.3737 0.3737  4 Ru 2.83-2.85, 4 In 2.83-2.84
In 0.6263 0.6263 0.6263  4 Ru 2.83-2.85, 4 In 2.83-2.84
Ru 0.1203 0.1203 0.1203  4 Ru 2.71-2.88, 4 In 2.83-2.85
Ru 0.8797 0.8797 0.8797  4 Ru 2.71-2.88, 4 In 2.83-2.85

> Which of these has the highest M_tot?

TaAg3